No. 1
This record from Alexandria via LeMat-Bulk describes a relaxed structure of NpPb3Cl2O6. The functional is PBE-GGA.

Unit cell a=13.1567 b=6.6747 c=5.3971 alpha=90.00 beta=98.33 gamma=90.00
Space group C2/m (No. 12)
Symmetry-distinct sites (fractional):
Np  0.0000  0.0000  0.0000 [2 per cell]
Pb  0.0000  0.5000  0.5000 [2 per cell]
Pb  0.2500  0.2500  0.0000 [4 per cell]
Cl  0.1986  0.5000  0.3982 [4 per cell]
O  0.0587  0.2283  0.7967 [8 per cell]
O  0.1387  0.0000  0.1857 [4 per cell]

Output
The electronic total energy is -6.273 eV/atom. For the formation energy from raw total energies, the calculation gives -1715 kJ/mol of formula units. The calculation puts the magnetization at 0.00 μB/cell.

---

No. 2
This record from Alexandria via LeMat-Bulk describes a relaxed structure of K6ClO2. The functional is PBE-GGA.

Unit cell a=15.2791 b=5.1484 c=9.5384 alpha=90.00 beta=102.84 gamma=90.00
Space group C2/m (No. 12)
Symmetry-distinct sites (fractional):
K  0.0856  0.0000  0.2162 [4 per cell]
K  0.1314  0.5000  0.6263 [4 per cell]
K  0.2409  0.5000  0.0960 [4 per cell]
Cl  0.0000  0.0000  0.5000 [2 per cell]
O  0.2373  0.0000  0.1753 [4 per cell]

Output
The electronic total energy is -3.088 eV/atom. For the formation energy from raw total energies, the calculation gives -911 kJ/mol of formula units. The calculation puts the magnetization at 0.00 μB/cell. For the energy above the most stable polymorph in this dataset, the calculation gives 39 meV per atom.

---

No. 3
This record from Alexandria via LeMat-Bulk describes a relaxed structure of Nd2Sc3Si4. The functional is PBE-GGA.

Unit cell a=7.4819 b=7.5063 c=7.2040 alpha=90.00 beta=108.06 gamma=90.00
Space group P2_1/c (No. 14)
Symmetry-distinct sites (fractional):
Nd  0.1943  0.1722  0.0740 [4 per cell]
Sc  0.2506  0.6779  0.2508 [4 per cell]
Sc  0.5000  0.0000  0.5000 [2 per cell]
Si  0.0783  0.5372  0.8728 [4 per cell]
Si  0.4973  0.1204  0.8730 [4 per cell]

Output
The electronic total energy is -6.385 eV/atom. For the formation energy from raw total energies, the calculation gives -699 kJ/mol of formula units. The calculation puts the magnetization at 0.00 μB/cell.

---

No. 4
This record from Alexandria via LeMat-Bulk describes a relaxed structure of Re2BW. The functional is PBE-GGA.

Unit cell a=3.7556 b=3.7556 c=17.0088 alpha=90.00 beta=90.00 gamma=90.00
Space group I-42d (No. 122)
Symmetry-distinct sites (fractional):
Re  0.1961  0.2500  0.1250 [8 per cell]
B  0.0000  0.0000  0.0000 [4 per cell]
W  0.0000  0.0000  0.5000 [4 per cell]

Output
The electronic total energy is -10.264 eV/atom. The calculation puts the magnetization at 0.00 μB/cell.

---

- Among the records above, which one has the highest electronic total energy?
  K6ClO2